Tb6Pr2Pu | PBE | relaxed

For the formation energy, the calculation gives 140 meV/atom. As for the volume: 1183.2 Å³ per cell. The total energy is -5.601 eV/atom.

It has space group C2/c (No. 15), with a = 22.141 Å, b = 10.181 Å, c = 5.412 Å, α = 90.00°, β = 104.12° and γ = 90.00°. The asymmetric unit holds Tb at (0.078, 0.182, 0.329), Tb at (0.080, 0.393, 0.831), Tb at (0.179, 0.124, 0.930), Pr at (0.202, 0.384, 0.452) and Pu at (0.000, 0.092, 0.750).